The following is a PBE calculation of a relaxed structure of Ca5Mg3, from Alexandria.

Geometry as extended XYZ:
```
8
Lattice="-1.088 5.460 -4.338 -6.335 -2.361 2.026 0.098 3.546 4.438" Properties=species:S:1:pos:R:3 pbc="T T T"
Ca -0.544 2.730 -2.169
Mg -3.712 1.550 -1.156
Mg -2.272 5.394 -0.623
Ca 0.000 0.000 0.000
Ca -1.985 2.622 1.585
Ca -5.340 4.023 0.540
Ca -3.168 -1.180 1.013
Mg -5.053 1.251 2.749
```

The magnetization comes out at 0.000 μB/f.u. The formation energy comes out at -0.03 eV per atom. For the total energy, the calculation gives -1.880 eV/atom. The value obtained for the density of states at the Fermi level is 9.03 states/eV/f.u. The volume comes out at 270 Å³/cell. The symmetry is Cmmm (65).